Material: BMoPd2
Method: DFT, GGA-PBE
State: relaxed

As for the final energy: -106.875 eV for the cell shown.

It has space group I-42d (No. 122), with a = 6.921 Å, b = 6.921 Å, c = 4.705 Å, α = 90.00°, β = 90.00° and γ = 90.00°. The inequivalent atoms are B at (0.000, 0.000, 0.000), Mo at (0.000, 0.000, 0.500) and Pd at (0.151, 0.250, 0.125).

---

Material: K2YMg
Method: DFT, GGA-PBE
State: relaxed

As for the final energy: -17.227 eV for the cell shown.

It has space group C2/m (No. 12), with a = 7.202 Å, b = 13.802 Å, c = 3.614 Å, α = 90.00°, β = 117.35° and γ = 90.00°. The inequivalent atoms are K at (0.250, 0.250, 0.000), Y at (0.000, 0.000, 0.500) and Mg at (0.000, 0.500, 0.500).

---

Material: HoTm3Ir
Method: DFT, GGA-PBE
State: relaxed

As for the final energy: -28.260 eV for the cell shown.

It has space group Pm-3m (No. 221), with a = 5.356 Å, b = 5.356 Å, c = 5.356 Å, α = 90.00°, β = 90.00° and γ = 90.00°. The inequivalent atoms are Ho at (0.000, 0.000, 0.000), Tm at (0.000, 0.500, 0.500) and Ir at (0.500, 0.500, 0.500).